[1]
A plane-wave DFT calculation with PBE was carried out for a geometry-optimized Ta2TiIr structure.

Calculated values
* E_form: -0.329 eV/atom
* SG: No. 123
* DOS(E_F): 0.492 states/eV/atom

a = 3.2163 Å, b = 3.2163 Å, c = 6.4823 Å
α = 90.00°, β = 90.00°, γ = 90.00°
With the nearest neighbours (Å) after each atom.
Sites, in units of the cell vectors:
Ta: 0.0000 0.0000 0.7460  4 Ir 2.78, 4 Ti 2.81
Ta: 0.0000 0.0000 0.2540  4 Ir 2.78, 4 Ti 2.81
Ti: 0.5000 0.5000 0.0000  8 Ta 2.81
Ir: 0.5000 0.5000 0.5000  8 Ta 2.78

---

[2]
A plane-wave DFT calculation with PBE was carried out for a geometry-optimized TaTi4Ir5 structure.

Calculated values
* E_form: -0.803 eV/atom
* SG: No. 123
* DOS(E_F): 0.749 states/eV/atom

a = 2.9212 Å, b = 2.9212 Å, c = 17.9132 Å
α = 90.00°, β = 90.00°, γ = 90.00°
With the nearest neighbours (Å) after each atom.
Sites, in units of the cell vectors:
Ir: 0.5000 0.5000 0.8908  4 Ti 2.68, 4 Ta 2.84, 4 Ir 2.92
Ir: 0.5000 0.5000 0.3017  8 Ti 2.70-2.73, 4 Ir 2.92
Ti: 0.0000 0.0000 0.5989  8 Ir 2.72-2.73, 4 Ti 2.92
Ti: 0.0000 0.0000 0.7957  8 Ir 2.68-2.70, 4 Ti 2.92
Ir: 0.5000 0.5000 0.5000  8 Ti 2.72, 4 Ir 2.92
Ti: 0.0000 0.0000 0.2043  8 Ir 2.68-2.70, 4 Ti 2.92
Ti: 0.0000 0.0000 0.4011  8 Ir 2.72-2.73, 4 Ti 2.92
Ir: 0.5000 0.5000 0.6983  8 Ti 2.70-2.73, 4 Ir 2.92
Ta: 0.0000 0.0000 0.0000  8 Ir 2.84, 4 Ta 2.92
Ir: 0.5000 0.5000 0.1092  4 Ti 2.68, 4 Ta 2.84, 4 Ir 2.92

---

[3]
A plane-wave DFT calculation with PBE was carried out for a geometry-optimized TaTi3Ir structure.

Calculated values
* E_form: 1.225 eV/atom
* SG: No. 221
* DOS(E_F): 1.214 states/eV/atom

a = 4.6672 Å, b = 4.6672 Å, c = 4.6672 Å
α = 90.00°, β = 90.00°, γ = 90.00°
With the nearest neighbours (Å) after each atom.
Sites, in units of the cell vectors:
Ta: 0.0000 0.0000 0.0000  6 Ti 2.33
Ti: 0.0000 0.0000 0.5000  2 Ta 2.33
Ir: 0.5000 0.5000 0.5000  12 Ti 3.30
Ti: 0.0000 0.5000 0.0000  2 Ta 2.33
Ti: 0.5000 0.0000 0.0000  2 Ta 2.33